Density functional theory data (PBE-GGA) for a relaxed structure of Pr5GaPb2.

Formation enthalpy at 0 K (eV/atom): -0.49

Cell and atoms, written as CIF:
```
data_Pr5GaPb2
_cell_length_a 8.3197
_cell_length_b 12.8051
_cell_length_c 4.8801
_cell_angle_alpha 90.00
_cell_angle_beta 90.00
_cell_angle_gamma 90.00
_symmetry_space_group_name_H-M 'P b a m'
_symmetry_Int_Tables_number 55
loop_
_symmetry_equiv_pos_as_xyz
'x,y,z'
'-x,-y,-z'
'-x,-y,z'
'x,y,-z'
'x+1/2,-y+1/2,-z'
'-x+1/2,y+1/2,z'
'-x+1/2,y+1/2,-z'
'x+1/2,-y+1/2,z'
loop_
_atom_site_label
_atom_site_type_symbol
_atom_site_fract_x
_atom_site_fract_y
_atom_site_fract_z
Pr1 Pr 0.0000 0.0000 0.0000
Pr2 Pr 0.1539 0.2842 0.0000
Pr3 Pr 0.1909 0.5669 0.5000
Ga1 Ga 0.0000 0.5000 0.0000
Pb1 Pb 0.0767 0.8285 0.5000
```

***

Density functional theory data (PBE-GGA) for a relaxed structure of FeH2Rh.

Uncorrected energy (eV per atom): -5.49

Cell and atoms, written as CIF:
```
data_FeH2Rh
_cell_length_a 2.9286
_cell_length_b 2.9286
_cell_length_c 14.0661
_cell_angle_alpha 90.00
_cell_angle_beta 90.00
_cell_angle_gamma 120.00
_symmetry_space_group_name_H-M 'R -3 m'
_symmetry_Int_Tables_number 166
_symmetry_space_group_name_Hall '-R 3 2"'
loop_
_atom_site_label
_atom_site_type_symbol
_atom_site_fract_x
_atom_site_fract_y
_atom_site_fract_z
Fe1 Fe 0.0000 0.0000 0.0000
H1 H 0.0000 0.0000 0.1212
Rh1 Rh 0.0000 0.0000 0.5000
```

***

Density functional theory data (PBE-GGA) for a relaxed structure of GaCo.

Formation enthalpy at 0 K (eV/atom): -0.15

Cell and atoms, written as CIF:
```
data_GaCo
_cell_length_a 2.7810
_cell_length_b 2.7810
_cell_length_c 3.7831
_cell_angle_alpha 90.00
_cell_angle_beta 90.00
_cell_angle_gamma 120.00
_symmetry_space_group_name_H-M 'P -6 m 2'
_symmetry_Int_Tables_number 187
_symmetry_space_group_name_Hall 'P -6 2'
loop_
_atom_site_label
_atom_site_type_symbol
_atom_site_fract_x
_atom_site_fract_y
_atom_site_fract_z
Ga1 Ga 0.0000 0.0000 0.0000
Co1 Co 0.6667 0.3333 0.5000
```

***

Density functional theory data (PBE-GGA) for a relaxed structure of FeIrCl2.

Uncorrected formation energy (meV per atom): 706.7
Energy above the most stable polymorph in this dataset (eV per atom): 0.7784

Cell and atoms, written as CIF:
```
data_FeIrCl2
_cell_length_a 5.4755
_cell_length_b 5.4755
_cell_length_c 10.4463
_cell_angle_alpha 90.00
_cell_angle_beta 90.00
_cell_angle_gamma 90.00
_symmetry_space_group_name_H-M 'I -4 2 d'
_symmetry_Int_Tables_number 122
_symmetry_space_group_name_Hall 'I -4 2bw'
loop_
_atom_site_label
_atom_site_type_symbol
_atom_site_fract_x
_atom_site_fract_y
_atom_site_fract_z
Fe1 Fe 0.0000 0.0000 0.0000
Ir1 Ir 0.0000 0.0000 0.5000
Cl1 Cl 0.2330 0.2500 0.1250
```

***

Q: Number 4 is which compound?
A: FeIrCl2